Ca8Cd2Hg: relaxed, GGA-PBE.

The calculated formation energy is -0.234 eV/atom. The value obtained for the polymorph energy (0 for the lowest one) is 0.0 meV per atom. The raw total energy is -0.0692 Ha/atom. As for the size of the total moment: 0.0 μB/cell. For the density of states at the Fermi level, the calculation gives 1.156 states/eV per atom.

The space group is C2/m (No. 12) and the conventional cell measures 19.080, 5.421 and 7.595 Å, with angles of 90.00, 108.55 and 90.00 degrees. The asymmetric unit holds Ca at (0.027, 0.000, 0.286), Ca at (0.095, 0.500, 0.949), Ca at (0.164, 0.500, 0.461), Ca at (0.202, 0.000, 0.804), Cd at (0.182, 0.000, 0.204) and Hg at (0.000, 0.500, 0.500).

***

RbLaGa2I6: relaxed, GGA-PBE.

For the uncorrected formation energy, the calculation gives -1043 meV per atom. The raw total energy is -0.1164 Ha/atom. As for the size of the total moment: 0.0 μB/cell. For the density of states at the Fermi level, the calculation gives 0.000 states/eV per atom.

The space group is R3 (No. 146, hexagonal axes) and the conventional cell measures 8.4346, 8.4346 and 22.9940 Å, with angles of 90.00, 90.00 and 120.00 degrees. The asymmetric unit holds Rb at (0.0000, 0.0000, 0.0000), La at (0.0000, 0.0000, 0.4855), Ga at (0.0000, 0.0000, 0.2980), Ga at (0.0000, 0.0000, 0.8063), I at (0.0050, 0.3461, 0.2219) and I at (0.0191, 0.6100, 0.0616).